# AlTc4, optimized geometry, DFT PBE-GGA
data_AlTc4
_chemical_formula_sum 'Al1 Tc4'
_cell_length_a 4.361
_cell_length_b 4.361
_cell_length_c 4.361
_cell_angle_alpha 90.00
_cell_angle_beta 90.00
_cell_angle_gamma 90.00
_symmetry_space_group_name_H-M 'P m -3 m'
_symmetry_Int_Tables_number 221
_symmetry_space_group_name_Hall '-P 4 2 3'
loop_
_atom_site_label
_atom_site_fract_x
_atom_site_fract_y
_atom_site_fract_z
Al1 0.000 0.000 0.000
Tc1 0.000 0.000 0.500
Tc2 0.500 0.500 0.500
# Excess energy over the best structure of this formula in the dataset in meV per atom: 193
# Volume in Å³ per cell: 82.9
# ΔH_f (0 K) in eV/atom: 1.4228

---

# Ti4Rh3, optimized geometry, DFT PBE-GGA
data_Ti4Rh3
_chemical_formula_sum 'Ti8 Rh6'
_cell_length_a 5.388
_cell_length_b 6.943
_cell_length_c 6.965
_cell_angle_alpha 113.47
_cell_angle_beta 105.14
_cell_angle_gamma 104.73
_symmetry_space_group_name_H-M 'P -1'
_symmetry_Int_Tables_number 2
_symmetry_space_group_name_Hall '-P 1'
loop_
_atom_site_label
_atom_site_fract_x
_atom_site_fract_y
_atom_site_fract_z
Ti1 0.000 0.000 0.000
Ti2 0.073 0.428 0.286
Ti3 0.212 0.286 0.858
Ti4 0.355 0.142 0.428
Ti5 0.500 0.000 0.000
Rh1 0.142 0.856 0.572
Rh2 0.287 0.716 0.144
Rh3 0.429 0.572 0.715
# Volume in Å³ per cell: 211.0
# ΔH_f (0 K) in eV/atom: -0.6801

---

# Dy5Er2Sc, optimized geometry, DFT PBE-GGA
data_Dy5Er2Sc
_chemical_formula_sum 'Dy20 Er8 Sc4'
_cell_length_a 8.875
_cell_length_b 8.875
_cell_length_c 12.338
_cell_angle_alpha 90.00
_cell_angle_beta 90.00
_cell_angle_gamma 90.00
_symmetry_space_group_name_H-M 'I 4/m c m'
_symmetry_Int_Tables_number 140
_symmetry_space_group_name_Hall '-I 4 2c'
loop_
_atom_site_label
_atom_site_fract_x
_atom_site_fract_y
_atom_site_fract_z
Dy1 0.000 0.000 0.000
Dy2 0.153 0.347 0.165
Er1 0.142 0.358 0.500
Sc1 0.000 0.000 0.250
# Excess energy over the best structure of this formula in the dataset in meV per atom: 90
# Volume in Å³ per cell: 971.9
# ΔH_f (0 K) in eV/atom: 0.1020

---

# GaAsAuC, optimized geometry, DFT PBE-GGA
data_GaAsAuC
_chemical_formula_sum 'Ga1 As1 Au1 C1'
_cell_length_a 4.338
_cell_length_b 3.318
_cell_length_c 5.283
_cell_angle_alpha 90.00
_cell_angle_beta 108.63
_cell_angle_gamma 90.00
_symmetry_space_group_name_H-M 'P 1 m 1'
_symmetry_Int_Tables_number 6
_symmetry_space_group_name_Hall 'P -2y'
loop_
_atom_site_label
_atom_site_fract_x
_atom_site_fract_y
_atom_site_fract_z
Ga1 0.000 0.000 0.000
As1 0.231 0.500 0.555
Au1 0.655 0.500 0.223
C1 0.186 0.500 0.903
# Excess energy over the best structure of this formula in the dataset in meV per atom: 258
# Volume in Å³ per cell: 72.1
# ΔH_f (0 K) in eV/atom: 0.5537

---

# LiAuO2F, optimized geometry, DFT PBE-GGA
data_LiAuO2F
_chemical_formula_sum 'Li1 Au1 O2 F1'
_cell_length_a 3.830
_cell_length_b 3.830
_cell_length_c 3.451
_cell_angle_alpha 90.00
_cell_angle_beta 90.00
_cell_angle_gamma 90.00
_symmetry_space_group_name_H-M 'P 4/m m m'
_symmetry_Int_Tables_number 123
_symmetry_space_group_name_Hall '-P 4 2'
loop_
_atom_site_label
_atom_site_fract_x
_atom_site_fract_y
_atom_site_fract_z
Li1 0.000 0.000 0.000
Au1 0.500 0.500 0.500
O1 0.000 0.500 0.000
F1 0.000 0.000 0.500
# Volume in Å³ per cell: 50.6
# Raw formation energy in meV per atom: -124

---

# AlNi2W, optimized geometry, DFT PBE-GGA
data_AlNi2W
_chemical_formula_sum 'Al1 Ni2 W1'
_cell_length_a 3.789
_cell_length_b 3.789
_cell_length_c 3.637
_cell_angle_alpha 90.00
_cell_angle_beta 90.00
_cell_angle_gamma 90.00
_symmetry_space_group_name_H-M 'P 4/m m m'
_symmetry_Int_Tables_number 123
_symmetry_space_group_name_Hall '-P 4 2'
loop_
_atom_site_label
_atom_site_fract_x
_atom_site_fract_y
_atom_site_fract_z
Al1 0.000 0.000 0.000
Ni1 0.000 0.500 0.500
W1 0.500 0.500 0.000
# Volume in Å³ per cell: 52.2
# ΔH_f (0 K) in eV/atom: -0.0515